Computed, not measured: crystalline MnAg2Sb at its relaxed geometry at the PBE level of DFT.

Calculated values
**N(E_F)**: 2.55 states/eV/f.u.
**Energy relative to the elements, uncorrected**: 0.199 eV per atom

The structure in POSCAR format:
```
MnAg2Sb
1.0
0.000 3.088 4.041
3.062 0.000 4.041
3.062 3.088 0.000
Mn Ag Sb
1 2 1
Direct
0.000 0.000 0.000
0.250 0.250 0.250
0.500 0.500 0.500
0.750 0.750 0.750
```

Computed, not measured: crystalline Sr2LiGaAg6 at its relaxed geometry at the PBE level of DFT.

Calculated values
**DFT total energy**: -2.638 eV/atom
**N(E_F)**: 3.68 states/eV/f.u.

The structure in POSCAR format:
```
Sr2LiGaAg6
1.0
4.915 -4.971 0.000
4.915 4.971 0.000
-4.775 0.000 4.925
Sr Li Ga Ag
2 1 1 6
Direct
0.214 0.786 0.000
0.786 0.214 0.000
0.500 0.500 0.500
0.000 0.000 0.500
0.258 0.742 0.500
0.298 0.298 0.585
0.299 0.299 0.011
0.701 0.701 0.989
0.702 0.702 0.415
0.742 0.258 0.500
```

Computed, not measured: crystalline PmDy2Y6 at its relaxed geometry at the PBE level of DFT.

Calculated values
**Excess energy over the best structure of this formula in the dataset**: 44 meV/atom
**N(E_F)**: 15.44 states/eV/f.u.

The structure in POSCAR format:
```
PmDy2Y6
1.0
-2.871 4.835 10.467
2.871 -4.835 10.467
2.871 4.835 -10.467
Pm Dy Y
2 4 12
Direct
0.250 0.250 0.000
0.750 0.750 0.000
0.168 0.535 0.703
0.332 0.035 0.366
0.668 0.965 0.634
0.832 0.465 0.297
0.002 0.304 0.638
0.083 0.083 0.000
0.166 0.804 0.302
0.334 0.636 0.638
0.417 0.417 0.000
0.498 0.136 0.302
0.502 0.864 0.698
0.583 0.583 0.000
0.666 0.364 0.362
0.834 0.196 0.698
0.917 0.917 0.000
0.998 0.696 0.362
```

Computed, not measured: crystalline Nd2PuBr at its relaxed geometry at the PBE level of DFT.

Calculated values
**Excess energy over the best structure of this formula in the dataset**: 87 meV/atom
**N(E_F)**: 9.33 states/eV/f.u.
**Energy relative to the elements, uncorrected**: -0.377 eV per atom

The structure in POSCAR format:
```
Nd2PuBr
1.0
3.527 0.000 0.000
0.000 3.527 0.000
0.000 0.000 9.547
Nd Pu Br
2 1 1
Direct
0.000 0.000 0.242
0.000 0.000 0.758
0.500 0.500 0.500
0.500 0.500 0.000
```

Computed, not measured: crystalline Be2AgRu at its relaxed geometry at the PBE level of DFT.

Calculated values
**DFT total energy**: -4.580 eV/atom
**N(E_F)**: 1.08 states/eV/f.u.

The structure in POSCAR format:
```
Be2AgRu
1.0
1.343 0.775 8.168
-1.343 0.775 8.168
0.000 -1.551 8.168
Be Ag Ru
2 1 1
Direct
0.000 0.000 0.000
0.259 0.259 0.259
0.508 0.508 0.508
0.739 0.739 0.739
```

Computed, not measured: crystalline Li2AcPmSe4 at its relaxed geometry at the PBE level of DFT.

Calculated values
**N(E_F)**: 0.00 states/eV/f.u.
**Energy relative to the elements, uncorrected**: -1.668 eV per atom

The structure in POSCAR format:
```
Li2AcPmSe4
1.0
7.009 0.000 0.000
0.000 4.308 0.000
-2.667 0.000 6.993
Li Ac Pm Se
2 1 1 4
Direct
0.000 0.000 0.000
0.000 0.500 0.500
0.500 0.000 0.500
0.500 0.500 0.000
0.236 0.500 0.232
0.240 0.000 0.758
0.760 0.000 0.242
0.764 0.500 0.768
```

Computed, not measured: crystalline ScSbTe2P at its relaxed geometry at the PBE level of DFT.

Calculated values
**Excess energy over the best structure of this formula in the dataset**: 283 meV/atom
**N(E_F)**: 5.44 states/eV/f.u.
**Energy relative to the elements, uncorrected**: 0.475 eV per atom

The structure in POSCAR format:
```
ScSbTe2P
1.0
5.445 0.000 0.000
0.000 5.445 0.000
0.000 0.000 5.600
Sc Sb Te P
1 1 2 1
Direct
0.000 0.000 0.000
0.000 0.000 0.500
0.000 0.500 0.000
0.500 0.000 0.000
0.500 0.500 0.500
```

Computed, not measured: crystalline Li15CaIn4 at its relaxed geometry at the PBE level of DFT.

Calculated values
**DFT total energy**: -2.249 eV/atom
**N(E_F)**: 10.26 states/eV/f.u.

The structure in POSCAR format:
```
Li15CaIn4
1.0
4.865 0.000 0.000
0.000 4.865 0.000
0.000 0.000 16.837
Li Ca In
15 1 4
Direct
0.000 0.000 0.000
0.000 0.000 0.209
0.000 0.000 0.403
0.000 0.000 0.597
0.000 0.000 0.791
0.000 0.500 0.126
0.000 0.500 0.309
0.000 0.500 0.500
0.000 0.500 0.691
0.000 0.500 0.874
0.500 0.000 0.126
0.500 0.000 0.309
0.500 0.000 0.500
0.500 0.000 0.691
0.500 0.000 0.874
0.500 0.500 0.000
0.500 0.500 0.213
0.500 0.500 0.403
0.500 0.500 0.597
0.500 0.500 0.787
```

M_tot? In order: 3.94; 0.00; 0.00; 6.04; 0.00; 0.00; 1.46; 0.00 Bohr magnetons per cell.